[1]
Below is a geometry-optimized LaHfPO structure, with properties calculated at the PBE level.

Calculated values
Polymorph energy (0 for the lowest one)   0 meV/atom
VASP energy   -8.36 eV/atom
Space-group type   No. 129
Calculated volume   20.04 A^3/atom

```
LaHfPO
1.0
-2.546 -2.320 -2.440
2.825 0.192 -3.131
3.904 -7.507 3.063
Hf La O P
2 2 2 2
Cartesian
0.748 -5.445 -1.081
3.434 -4.190 -1.427
0.565 -1.484 -1.004
3.618 -8.151 -1.504
-1.204 -1.692 -2.613
1.482 -0.436 -2.958
1.497 -4.073 -3.168
2.685 -5.562 0.659
```

=====

[2]
Below is a geometry-optimized Rb4Nb2S10O structure, with properties calculated at the PBE level.

Calculated values
VASP energy   -5.18 eV/atom
Space-group type   No. 29
Calculated volume   28.20 A^3/atom

```
Rb4Nb2S10O
1.0
-5.020 11.941 2.469
-5.130 -0.924 -5.963
-12.119 -7.491 11.586
Nb O Rb S
8 4 16 40
Cartesian
-6.623 10.027 1.188
-6.359 3.652 -2.658
-9.018 9.397 3.764
-9.162 2.948 -0.556
-11.210 2.780 6.257
-10.947 -3.596 2.411
-12.978 0.658 8.525
-13.122 -5.791 4.205
-5.313 -1.509 1.951
-10.169 4.039 0.458
-13.105 -1.134 8.596
-17.962 4.414 7.103
-4.520 6.319 -0.149
-4.156 -0.038 -3.879
-4.655 1.424 0.457
-9.050 7.055 -0.500
-8.582 4.425 2.980
-7.576 -1.816 -0.003
-6.684 -0.238 4.051
-12.631 5.114 1.291
-12.464 7.056 6.571
-12.100 0.699 2.841
-10.828 -2.051 6.307
-15.224 3.580 5.350
-16.208 4.406 9.544
-15.202 -1.836 6.560
-12.903 -3.605 9.922
-18.849 1.746 7.162
-1.651 0.558 -1.331
-6.691 6.073 -3.038
-5.067 8.494 2.311
-6.973 1.728 -4.057
-2.029 -1.010 1.419
-9.198 4.122 -2.762
-9.135 10.238 1.388
-6.990 4.202 -0.272
-7.027 7.808 2.277
-7.151 1.363 -2.020
-5.341 3.400 3.355
-12.286 8.572 -0.565
-10.274 7.441 2.822
-8.150 1.401 1.139
-9.632 7.178 4.780
-9.916 0.704 0.297
-8.703 2.952 6.049
-10.366 -3.770 -0.036
-11.861 3.934 4.415
-9.429 -2.051 3.090
-9.548 1.181 5.365
-14.588 6.696 3.659
-11.002 4.453 8.043
-12.908 -2.313 1.675
-10.505 0.991 8.400
-17.673 6.123 4.220
-12.820 0.844 6.013
-10.675 -5.192 4.353
-12.872 3.552 7.965
-12.996 -2.893 3.668
-9.540 -4.772 8.233
-16.484 0.400 4.313
-15.353 1.363 8.133
-13.229 -4.677 6.450
-14.799 1.311 10.134
-15.083 -5.163 5.651
-16.872 4.225 12.880
-18.535 -2.497 6.794
-18.671 1.973 10.577
-16.239 -4.011 9.252
```

=====

[3]
Below is a geometry-optimized LaTa2Mo2 structure, with properties calculated at the PBE level.

Calculated values
VASP energy   -8.59 eV/atom
Calculated formation energy   1.472 eV/atom
Space-group type   No. 139
Calculated volume   22.06 A^3/atom

```
LaTa2Mo2
1.0
-2.581 2.581 4.139
2.581 -2.581 4.139
2.581 2.581 -4.139
La Mo Ta
1 2 2
Cartesian
0.000 0.000 0.000
0.000 2.581 0.000
2.581 0.000 0.000
0.000 0.000 2.887
0.000 0.000 5.391
```

=====

[4]
Below is a geometry-optimized TlAg3SnS4 structure, with properties calculated at the PBE level.

Calculated values
Polymorph energy (0 for the lowest one)   49 meV/atom
VASP energy   -3.64 eV/atom
Space-group type   No. 215
Calculated volume   28.68 A^3/atom

```
TlAg3SnS4
1.0
6.367 0.000 0.000
0.000 6.367 0.000
0.000 0.000 6.367
Ag S Sn Tl
3 4 1 1
Cartesian
3.184 0.000 0.000
0.000 3.184 0.000
0.000 0.000 3.184
4.953 1.414 1.414
1.414 4.953 1.414
1.414 1.414 4.953
4.953 4.953 4.953
0.000 0.000 0.000
3.184 3.184 3.184
```

=====

[5]
Below is a geometry-optimized TbFe2Mo2 structure, with properties calculated at the PBE level.

Calculated values
Polymorph energy (0 for the lowest one)   0 meV/atom
VASP energy   -8.54 eV/atom
Calculated formation energy   0.046 eV/atom
Space-group type   No. 139
Calculated volume   16.85 A^3/atom

```
TbFe2Mo2
1.0
-2.086 2.086 4.840
2.086 -2.086 4.840
2.086 2.086 -4.840
Fe Mo Tb
2 2 1
Cartesian
0.000 0.000 3.623
0.000 0.000 6.056
0.000 2.086 2.420
2.086 0.000 2.420
0.000 0.000 0.000
```

=====

[6]
Below is a geometry-optimized RbNbCuTe2Se structure, with properties calculated at the PBE level.

Calculated values
VASP energy   -4.63 eV/atom
Space-group type   No. 63
Calculated volume   27.75 A^3/atom

```
RbNbCuTe2Se
1.0
0.996 5.819 6.077
-4.663 -5.149 -4.849
0.977 -7.483 7.005
Cu Nb Rb Se Te
2 2 2 2 4
Cartesian
-4.259 -6.709 -2.789
1.569 -0.104 11.021
-1.833 0.335 0.614
-1.345 -3.407 4.116
-0.109 1.332 5.222
-2.581 -8.146 3.010
-1.920 -2.176 1.727
-0.770 -4.637 6.505
-3.928 -4.192 -3.175
-3.537 -7.187 -0.371
0.847 0.374 8.603
1.239 -2.622 11.407
```

=====

[7]
Below is a geometry-optimized HfSiPb structure, with properties calculated at the PBE level.

Calculated values
Polymorph energy (0 for the lowest one)   0 meV/atom
VASP energy   -5.98 eV/atom
Space-group type   No. 216
Calculated volume   24.17 A^3/atom

```
HfSiPb
1.0
-4.094 1.827 1.345
-2.274 2.971 -2.813
-3.963 -1.336 -2.102
Hf Pb Si
1 1 1
Cartesian
-2.583 0.865 -0.893
-7.748 2.596 -2.678
0.000 0.000 0.000
```

=====

[8]
Below is a geometry-optimized MgFe2Bi structure, with properties calculated at the PBE level.

Calculated values
Polymorph energy (0 for the lowest one)   39 meV/atom
VASP energy   -5.08 eV/atom
Space-group type   No. 221
Calculated volume   17.40 A^3/atom

```
MgFe2Bi
1.0
6.530 0.000 0.000
0.000 6.530 0.000
0.000 0.000 6.530
Bi Fe Mg
4 8 4
Cartesian
0.000 0.000 0.000
3.265 0.000 0.000
0.000 3.265 0.000
0.000 0.000 3.265
1.810 1.810 1.810
4.720 1.810 1.810
1.810 4.720 1.810
4.720 4.720 1.810
1.810 1.810 4.720
4.720 1.810 4.720
1.810 4.720 4.720
4.720 4.720 4.720
3.265 3.265 0.000
3.265 0.000 3.265
0.000 3.265 3.265
3.265 3.265 3.265
```

=====

Q: Number 1 is which compound?
A: LaHfPO

=====

Q: The lowest calculated volume belongs to which entry?
A: TbFe2Mo2

=====

Q: Among the records above, which one has the highest VASP energy?
A: TlAg3SnS4

=====

Copy entry 6 word for word.
Below is a geometry-optimized RbNbCuTe2Se structure, with properties calculated at the PBE level.

Calculated values
VASP energy   -4.63 eV/atom
Space-group type   No. 63
Calculated volume   27.75 A^3/atom

```
RbNbCuTe2Se
1.0
0.996 5.819 6.077
-4.663 -5.149 -4.849
0.977 -7.483 7.005
Cu Nb Rb Se Te
2 2 2 2 4
Cartesian
-4.259 -6.709 -2.789
1.569 -0.104 11.021
-1.833 0.335 0.614
-1.345 -3.407 4.116
-0.109 1.332 5.222
-2.581 -8.146 3.010
-1.920 -2.176 1.727
-0.770 -4.637 6.505
-3.928 -4.192 -3.175
-3.537 -7.187 -0.371
0.847 0.374 8.603
1.239 -2.622 11.407
```